Record 1
{
  "formula": "HfZr2TiN4",
  "functional": "GGA-PBE",
  "state": "relaxed",
  "lattice": [[3.184, 0.000, 0.000], [0.000, 5.514, 0.091], [0.000, -1.931, 5.218]],
  "species": ["Hf", "Zr", "Zr", "Ti", "N", "N", "N", "N"],
  "fractional_positions": [[0.500, 0.500, 0.000], [0.500, 0.000, 0.500], [0.000, 0.500, 0.500], [0.000, 0.000, 0.000], [0.500, 0.241, 0.234], [0.500, 0.759, 0.766], [0.000, 0.252, 0.764], [0.000, 0.748, 0.236]],
  "formation_energy_uncorrected_ev_per_atom": -1.684,
  "total_energy_ev_per_atom": -10.22,
  "rho_g_cm3": 8.4,
  "n_ef_per_ev_fu": 4.005,
  "crystal_system": "monoclinic",
  "magnetic_moment_mub_per_fu": 0.00
}

Record 2
{
  "formula": "Hf2TlN",
  "functional": "GGA-PBE",
  "state": "relaxed",
  "lattice": [[3.270, 0.000, 0.000], [1.635, 2.832, 0.000], [1.635, 0.944, 7.460]],
  "species": ["Hf", "Hf", "Tl", "N"],
  "fractional_positions": [[0.055, 0.055, 0.835], [0.278, 0.278, 0.166], [0.500, 0.500, 0.501], [0.667, 0.667, 0.998]],
  "formation_energy_uncorrected_ev_per_atom": -0.899,
  "total_energy_ev_per_atom": -8.55,
  "rho_g_cm3": 13.8,
  "n_ef_per_ev_fu": 2.518,
  "crystal_system": "trigonal",
  "magnetic_moment_mub_per_fu": 0.00
}

Record 3
{
  "formula": "Hf2TlN2",
  "functional": "GGA-PBE",
  "state": "relaxed",
  "lattice": [[-0.114, 0.397, 4.219], [1.577, -3.913, 0.411], [6.009, 0.363, 2.258]],
  "species": ["Tl", "Hf", "Hf", "N", "N"],
  "fractional_positions": [[0.000, 0.000, 0.000], [0.750, 0.250, 0.500], [0.250, 0.750, 0.500], [0.283, 0.283, 0.433], [0.717, 0.717, 0.567]],
  "formation_energy_uncorrected_ev_per_atom": -0.791,
  "total_energy_ev_per_atom": -8.58,
  "rho_g_cm3": 9.6,
  "n_ef_per_ev_fu": 1.824,
  "crystal_system": "tetragonal",
  "de_polymorph_mev_per_atom": 0,
  "magnetic_moment_mub_per_fu": 0.00
}

Record 4
{
  "formula": "Hf7TlN2",
  "functional": "GGA-PBE",
  "state": "relaxed",
  "lattice": [[4.296, 0.000, 0.000], [0.000, 7.069, 0.026], [0.000, -3.166, 6.320]],
  "species": ["Hf", "Hf", "Hf", "Hf", "Hf", "Hf", "Hf", "Tl", "N", "N"],
  "fractional_positions": [[0.000, 0.717, 0.283], [0.000, 0.283, 0.717], [0.500, 0.068, 0.338], [0.500, 0.932, 0.662], [0.500, 0.338, 0.068], [0.500, 0.662, 0.932], [0.500, 0.500, 0.500], [0.000, 0.000, 0.000], [0.500, 0.702, 0.298], [0.500, 0.298, 0.702]],
  "formation_energy_uncorrected_ev_per_atom": -0.224,
  "total_energy_ev_per_atom": -9.09,
  "rho_g_cm3": 12.8,
  "n_ef_per_ev_fu": 6.512,
  "crystal_system": "orthorhombic",
  "magnetic_moment_mub_per_fu": 0.00
}

Record 5
{
  "formula": "HfTl2N",
  "functional": "GGA-PBE",
  "state": "relaxed",
  "lattice": [[-7.621, -4.889, -4.500], [-1.754, -5.125, 8.538], [-5.982, -3.550, 2.628]],
  "species": ["Tl", "Tl", "Tl", "Tl", "Hf", "Hf", "N", "N"],
  "fractional_positions": [[0.490, 0.125, 0.250], [0.260, 0.625, 0.250], [0.375, 0.510, 0.750], [0.875, 0.740, 0.750], [0.000, 0.000, 0.000], [0.750, 0.250, 0.500], [0.500, 0.500, 0.000], [0.250, 0.750, 0.500]],
  "formation_energy_uncorrected_ev_per_atom": 0.178,
  "total_energy_ev_per_atom": -5.58,
  "rho_g_cm3": 9.6,
  "n_ef_per_ev_fu": 2.070,
  "crystal_system": "tetragonal",
  "de_polymorph_mev_per_atom": 0,
  "magnetic_moment_mub_per_fu": 0.00
}

Record 6
{
  "formula": "Hf2TlN",
  "functional": "GGA-PBE",
  "state": "relaxed",
  "lattice": [[-6.583, 0.352, 0.637], [-0.575, -6.064, -2.600], [-3.338, -4.288, 2.303]],
  "species": ["Tl", "Tl", "Hf", "Hf", "Hf", "Hf", "N", "N"],
  "fractional_positions": [[0.000, 0.000, 0.000], [0.750, 0.250, 0.500], [0.514, 0.125, 0.250], [0.236, 0.625, 0.250], [0.375, 0.486, 0.750], [0.875, 0.764, 0.750], [0.500, 0.500, 0.000], [0.250, 0.750, 0.500]],
  "formation_energy_uncorrected_ev_per_atom": -0.480,
  "total_energy_ev_per_atom": -8.13,
  "rho_g_cm3": 12.1,
  "n_ef_per_ev_fu": 2.246,
  "crystal_system": "tetragonal",
  "magnetic_moment_mub_per_fu": 0.00
}

Record 7
{
  "formula": "Hf2TlN2",
  "functional": "GGA-PBE",
  "state": "relaxed",
  "lattice": [[-6.821, -0.813, 0.072], [0.444, -4.206, -5.414], [0.300, -2.353, 1.852]],
  "species": ["Tl", "Tl", "Hf", "Hf", "Hf", "Hf", "N", "N", "N", "N"],
  "fractional_positions": [[0.000, 0.000, 0.000], [0.500, 0.500, 0.000], [0.146, 0.646, 0.500], [0.646, 0.854, 0.500], [0.854, 0.354, 0.500], [0.354, 0.146, 0.500], [0.372, 0.872, 0.000], [0.872, 0.628, 0.000], [0.628, 0.128, 0.000], [0.128, 0.372, 0.000]],
  "formation_energy_uncorrected_ev_per_atom": -0.121,
  "total_energy_ev_per_atom": -7.91,
  "rho_g_cm3": 13.8,
  "n_ef_per_ev_fu": 2.669,
  "crystal_system": "tetragonal",
  "de_polymorph_mev_per_atom": 671,
  "magnetic_moment_mub_per_fu": 0.00
}

Record 8
{
  "formula": "Hf2TlN",
  "functional": "GGA-PBE",
  "state": "relaxed",
  "lattice": [[0.000, 3.304, 3.304], [3.304, 0.000, 3.304], [3.304, 3.304, 0.000]],
  "species": ["Tl", "Hf", "Hf", "N"],
  "fractional_positions": [[0.500, 0.500, 0.500], [0.250, 0.250, 0.250], [0.750, 0.750, 0.750], [0.000, 0.000, 0.000]],
  "formation_energy_uncorrected_ev_per_atom": 0.713,
  "total_energy_ev_per_atom": -6.94,
  "rho_g_cm3": 13.2,
  "n_ef_per_ev_fu": 2.143,
  "crystal_system": "cubic",
  "magnetic_moment_mub_per_fu": 0.00
}